[1]
The following is a DFT calculation (PBE) of a relaxed SmIn2Sb crystal.

Results
Raw formation energy (meV per atom): 144.8
E above lowest polymorph (meV/atom): 626.8
Calculated density (Mg/m³): 6.74

Lattice parameters (Å, degrees): 3.5552 3.5552 33.8916 90.00 90.00 120.00
Space group R-3m (No. 166, hexagonal axes)
Inequivalent atoms, fractional coordinates:
Sm 0.0000 0.0000 0.0000 [3 per cell]
In 0.0000 0.0000 0.0941 [6 per cell]
Sb 0.0000 0.0000 0.5000 [3 per cell]

---

[2]
The following is a DFT calculation (PBE) of a relaxed Sm6In3Sb crystal.

Results
Raw formation energy (meV per atom): -386.1
Calculated density (Mg/m³): 7.42

Lattice parameters (Å, degrees): 10.081 17.688 6.870 90.00 90.00 90.00
Space group Cmc2_1 (No. 36)
Inequivalent atoms, fractional coordinates:
Sm 0.000 0.011 0.000 [4 per cell]
Sm 0.000 0.280 0.021 [4 per cell]
Sm 0.178 0.267 0.489 [8 per cell]
Sm 0.191 0.437 0.227 [8 per cell]
In 0.000 0.413 0.654 [4 per cell]
In 0.206 0.108 0.269 [8 per cell]
Sb 0.000 0.147 0.712 [4 per cell]

---

[3]
The following is a DFT calculation (PBE) of a relaxed Sm3InSb2 crystal.

Results
Raw formation energy (meV per atom): -821.1
Calculated density (Mg/m³): 7.07

Lattice parameters (Å, degrees): 14.405 6.307 8.787 90.00 107.75 90.00
Space group C2/c (No. 15)
Inequivalent atoms, fractional coordinates:
Sm 0.000 0.001 0.250 [4 per cell]
Sm 0.176 0.500 0.088 [8 per cell]
In 0.000 0.499 0.750 [4 per cell]
Sb 0.164 0.000 0.082 [8 per cell]

---

[4]
The following is a DFT calculation (PBE) of a relaxed Sm7In2Sb2 crystal.

Results
Raw formation energy (meV per atom): -373.9
Calculated density (Mg/m³): 6.96

Lattice parameters (Å, degrees): 8.468 11.256 7.638 90.00 90.00 90.00
Space group Cmmm (No. 65)
Inequivalent atoms, fractional coordinates:
Sm 0.000 0.000 0.000 [2 per cell]
Sm 0.000 0.500 0.267 [4 per cell]
Sm 0.250 0.250 0.282 [8 per cell]
In 0.172 0.000 0.500 [4 per cell]
Sb 0.000 0.282 0.000 [4 per cell]

---

[5]
The following is a DFT calculation (PBE) of a relaxed Sm5InSb2 crystal.

Results
Raw formation energy (meV per atom): -510.1
Calculated density (Mg/m³): 7.49

Lattice parameters (Å, degrees): 5.660 9.859 17.632 90.00 90.00 90.00
Space group Cmcm (No. 63)
Inequivalent atoms, fractional coordinates:
Sm 0.000 0.085 0.078 [8 per cell]
Sm 0.000 0.263 0.750 [4 per cell]
Sm 0.000 0.407 0.101 [8 per cell]
In 0.000 0.069 0.250 [4 per cell]
Sb 0.000 0.263 0.572 [8 per cell]

---

[6]
The following is a DFT calculation (PBE) of a relaxed SmInSb2 crystal.

Results
Raw formation energy (meV per atom): -363.6
E above lowest polymorph (meV/atom): 169.9
Calculated density (Mg/m³): 6.67

Lattice parameters (Å, degrees): 4.5566 4.5566 21.1296 90.00 90.00 120.00
Space group R3m (No. 160, hexagonal axes)
Inequivalent atoms, fractional coordinates:
Sm 0.0000 0.0000 0.0000 [3 per cell]
In 0.0000 0.0000 0.8310 [3 per cell]
Sb 0.0000 0.0000 0.4183 [3 per cell]
Sb 0.0000 0.0000 0.5873 [3 per cell]

---

[7]
The following is a DFT calculation (PBE) of a relaxed SmInSb2 crystal.

Results
Raw formation energy (meV per atom): -497.5
E above lowest polymorph (meV/atom): 36.0
Calculated density (Mg/m³): 7.78

Lattice parameters (Å, degrees): 5.041 5.041 4.274 90.00 90.00 90.00
Space group P4/mmm (No. 123)
Inequivalent atoms, fractional coordinates:
Sm 0.000 0.000 0.000 [1 per cell]
In 0.500 0.500 0.000 [1 per cell]
Sb 0.000 0.500 0.500 [2 per cell]

---

[8]
The following is a DFT calculation (PBE) of a relaxed SmInSb2 crystal.

Results
Raw formation energy (meV per atom): -389.0
E above lowest polymorph (meV/atom): 144.5
Calculated density (Mg/m³): 6.85

Lattice parameters (Å, degrees): 4.3772 4.3772 22.3009 90.00 90.00 120.00
Space group R-3m (No. 166, hexagonal axes)
Inequivalent atoms, fractional coordinates:
Sm 0.0000 0.0000 0.0000 [3 per cell]
In 0.0000 0.0000 0.5000 [3 per cell]
Sb 0.0000 0.0000 0.2466 [6 per cell]